Run a
# PBE Li2ScCoNi, relaxed
data_Li2ScCoNi
_space_group_name_H-M_alt 'P 1'
_space_group_IT_number 1
_cell_length_a 4.1678
_cell_length_b 4.5278
_cell_length_c 4.1678
_cell_angle_alpha 90.00
_cell_angle_beta 90.00
_cell_angle_gamma 90.00
loop_
_space_group_symop_operation_xyz
'x,y,z'
loop_
_atom_site_label
_atom_site_fract_x
_atom_site_fract_y
_atom_site_fract_z
Sc1 0.5000 0.5000 0.5000
Ni1 0.0000 0.0000 0.0000
Co1 0.0000 0.5000 0.0000
Li1 0.0000 0.0000 0.5000
Li2 0.5000 0.0000 0.0000
# * space-group type: P4/mmm, No. 123
# * V: 78.7 Å³/cell


Run b
# PBE Li2ScCoNi, relaxed
data_Li2ScCoNi
_space_group_name_H-M_alt 'P 1'
_space_group_IT_number 1
_cell_length_a 4.7416
_cell_length_b 4.2524
_cell_length_c 4.7416
_cell_angle_alpha 90.00
_cell_angle_beta 90.00
_cell_angle_gamma 90.00
loop_
_space_group_symop_operation_xyz
'x,y,z'
loop_
_atom_site_label
_atom_site_fract_x
_atom_site_fract_y
_atom_site_fract_z
Sc1 0.0000 0.0000 0.0000
Ni1 0.0000 0.5000 0.0000
Co1 0.5000 0.5000 0.5000
Li1 0.0000 0.0000 0.5000
Li2 0.5000 0.0000 0.0000
# * space-group type: P4/mmm, No. 123
# * V: 95.6 Å³/cell


Relative calculated energies, zero for the most stable structure, unit meV/atom: run a 0; run b 919.